1.
Material: LaAl2SnHg
Method: DFT, PBE
State: relaxed

Total moment: 0.000 μB per atom
Density of states at the Fermi level: 0.982 states/eV/atom
Distance to the lowest polymorph of the same formula: 0.327 eV per formula unit

Cell: 5.205 5.205 6.131 Å, 90.00 90.00 90.00°
Space group P4/mmm (No. 123)
Asymmetric unit:
La  0.000  0.000  0.000 [1 per cell]
Al  0.000  0.500  0.500 [2 per cell]
Sn  0.000  0.000  0.500 [1 per cell]
Hg  0.500  0.500  0.000 [1 per cell]

***

2.
Material: SrLaAlHg
Method: DFT, PBE
State: relaxed

Total moment: 0.000 μB per atom
Density of states at the Fermi level: 0.695 states/eV/atom

Cell: 7.851 7.851 7.851 Å, 90.00 90.00 90.00°
Space group F-43m (No. 216)
Asymmetric unit:
Sr  0.000  0.000  0.000 [4 per cell]
La  0.000  0.000  0.500 [4 per cell]
Al  0.250  0.250  0.250 [4 per cell]
Hg  0.250  0.250  0.750 [4 per cell]

***

3.
Material: LaTbAlHg
Method: DFT, PBE
State: relaxed

Total moment: 0.000 μB per atom
Density of states at the Fermi level: 1.388 states/eV/atom
Distance to the lowest polymorph of the same formula: 0.202 eV per formula unit

Cell: 7.589 7.589 7.589 Å, 90.00 90.00 90.00°
Space group F-43m (No. 216)
Asymmetric unit:
La  0.000  0.000  0.000 [4 per cell]
Tb  0.000  0.000  0.500 [4 per cell]
Al  0.250  0.250  0.250 [4 per cell]
Hg  0.250  0.250  0.750 [4 per cell]

***

Number 1: energy of formation from the pure elements 188 kJ/mol of formula units. Number 2: energy of formation from the pure elements -136 kJ/mol of formula units. Number 3: energy of formation from the pure elements -151 kJ/mol of formula units.